Record 1
# YReHg2, optimized geometry, DFT GGA-PBE
data_YReHg2
_cell_length_a 4.243
_cell_length_b 4.243
_cell_length_c 20.672
_cell_angle_alpha 90.00
_cell_angle_beta 90.00
_cell_angle_gamma 90.00
_symmetry_space_group_name_H-M 'I -4 2 d'
_symmetry_Int_Tables_number 122
_symmetry_space_group_name_Hall 'I -4 2bw'
loop_
_atom_site_label
_atom_site_type_symbol
_atom_site_fract_x
_atom_site_fract_y
_atom_site_fract_z
Y1 Y 0.000 0.000 0.000
Re1 Re 0.000 0.000 0.500
Hg1 Hg 0.218 0.250 0.625
# * V: 372.2 Å³/cell
# * spin magnetization: 0.0 μB/f.u.
# * energy of formation: 228 kJ/mol of formula units

=====

Record 2
# CdP2Au, optimized geometry, DFT GGA-PBE
data_CdP2Au
_cell_length_a 3.771
_cell_length_b 3.771
_cell_length_c 10.663
_cell_angle_alpha 90.00
_cell_angle_beta 90.00
_cell_angle_gamma 90.00
_symmetry_space_group_name_H-M 'I 4/m m m'
_symmetry_Int_Tables_number 139
_symmetry_space_group_name_Hall '-I 4 2'
loop_
_atom_site_label
_atom_site_type_symbol
_atom_site_fract_x
_atom_site_fract_y
_atom_site_fract_z
Cd1 Cd 0.000 0.000 0.000
P1 P 0.000 0.500 0.250
Au1 Au 0.000 0.000 0.500
# * V: 151.6 Å³/cell
# * spin magnetization: 0.0 μB/f.u.
# * energy of formation: 187 kJ/mol of formula units